Here is an optimized crystal structure of Gd2DyPu from the Alexandria database. Energies are from PBE-GGA.

a b c (Å): 4.9716 4.9535 4.9535
angles (deg): 90.00 90.00 90.00
Closest atoms and distances in Å follow each position.
Sites, in units of the cell vectors:
1 Gd 0.0000 0.0000 0.5000  4 Gd 3.50, 4 Pu 3.51, 4 Dy 3.51
2 Gd 0.0000 0.5000 0.0000  4 Gd 3.50, 4 Dy 3.51, 4 Pu 3.51
3 Dy 0.5000 0.5000 0.5000  4 Pu 3.50, 8 Gd 3.51
4 Pu 0.5000 0.0000 0.0000  4 Dy 3.50, 8 Gd 3.51

Calculated values
final energy	-46.5	eV/cell
total magnetic moment	8.43	μB/f.u.
N(E_F)	4.267	states/eV per atom
crystal system	tetragonal

=====

Here is an optimized crystal structure of GdDyPuSc from the Alexandria database. Energies are from PBE-GGA.

a b c (Å): 5.4476 5.4476 5.4476
angles (deg): 60.00 60.00 60.00
Closest atoms and distances in Å follow each position.
Sites, in units of the cell vectors:
1 Pu 0.2500 0.2500 0.2500  4 Gd 3.34, 4 Dy 3.34
2 Gd 0.0000 0.0000 0.0000  4 Pu 3.34, 4 Sc 3.34
3 Sc 0.7500 0.7500 0.7500  4 Dy 3.34, 4 Gd 3.34
4 Dy 0.5000 0.5000 0.5000  4 Sc 3.34, 4 Pu 3.34

Calculated values
final energy	-38.6	eV/cell
total magnetic moment	0.01	μB/f.u.
N(E_F)	2.762	states/eV per atom
crystal system	cubic

=====

Here is an optimized crystal structure of SmGdDyPu from the Alexandria database. Energies are from PBE-GGA.

a b c (Å): 5.6148 5.6148 5.6148
angles (deg): 60.00 60.00 60.00
Closest atoms and distances in Å follow each position.
Sites, in units of the cell vectors:
1 Gd 0.7500 0.7500 0.7500  4 Pu 3.44, 4 Dy 3.44
2 Sm 0.2500 0.2500 0.2500  4 Dy 3.44, 4 Pu 3.44
3 Pu 0.0000 0.0000 0.0000  4 Sm 3.44, 4 Gd 3.44
4 Dy 0.5000 0.5000 0.5000  4 Gd 3.44, 4 Sm 3.44

Calculated values
final energy	-36.9	eV/cell
total magnetic moment	0.15	μB/f.u.
N(E_F)	2.890	states/eV per atom
crystal system	cubic

=====

Here is an optimized crystal structure of TbGdDyPu from the Alexandria database. Energies are from PBE-GGA.

a b c (Å): 5.5995 5.5995 5.5995
angles (deg): 60.00 60.00 60.00
Closest atoms and distances in Å follow each position.
Sites, in units of the cell vectors:
1 Tb 0.7500 0.7500 0.7500  4 Dy 3.43, 4 Pu 3.43
2 Gd 0.2500 0.2500 0.2500  4 Dy 3.43, 4 Pu 3.43
3 Dy 0.5000 0.5000 0.5000  4 Tb 3.43, 4 Gd 3.43
4 Pu 0.0000 0.0000 0.0000  4 Gd 3.43, 4 Tb 3.43

Calculated values
final energy	-36.9	eV/cell
total magnetic moment	14.56	μB/f.u.
N(E_F)	2.741	states/eV per atom
crystal system	cubic

=====

Here is an optimized crystal structure of GdDyPuTh from the Alexandria database. Energies are from PBE-GGA.

a b c (Å): 5.5768 5.5768 5.5768
angles (deg): 60.00 60.00 60.00
Closest atoms and distances in Å follow each position.
Sites, in units of the cell vectors:
1 Pu 0.0000 0.0000 0.0000  4 Gd 3.42, 4 Th 3.42
2 Th 0.7500 0.7500 0.7500  4 Dy 3.42, 4 Pu 3.42
3 Dy 0.5000 0.5000 0.5000  4 Th 3.42, 4 Gd 3.42
4 Gd 0.2500 0.2500 0.2500  4 Dy 3.42, 4 Pu 3.42

Calculated values
final energy	-39.6	eV/cell
total magnetic moment	0.39	μB/f.u.
N(E_F)	3.306	states/eV per atom
crystal system	cubic

=====

Here is an optimized crystal structure of GdDyPuTl from the Alexandria database. Energies are from PBE-GGA.

a b c (Å): 5.4386 5.4386 5.4386
angles (deg): 60.00 60.00 60.00
Closest atoms and distances in Å follow each position.
Sites, in units of the cell vectors:
1 Dy 0.0000 0.0000 0.0000  4 Pu 3.33, 4 Tl 3.33
2 Pu 0.2500 0.2500 0.2500  4 Gd 3.33, 4 Dy 3.33
3 Gd 0.5000 0.5000 0.5000  4 Tl 3.33, 4 Pu 3.33
4 Tl 0.7500 0.7500 0.7500  4 Gd 3.33, 4 Dy 3.33

Calculated values
final energy	-35.3	eV/cell
total magnetic moment	14.54	μB/f.u.
N(E_F)	3.928	states/eV per atom
crystal system	cubic

=====

Here is an optimized crystal structure of GdDyTmPu from the Alexandria database. Energies are from PBE-GGA.

a b c (Å): 5.5675 5.5675 5.5675
angles (deg): 60.00 60.00 60.00
Closest atoms and distances in Å follow each position.
Sites, in units of the cell vectors:
1 Gd 0.0000 0.0000 0.0000  4 Pu 3.41, 4 Tm 3.41
2 Pu 0.7500 0.7500 0.7500  4 Gd 3.41, 4 Dy 3.41
3 Tm 0.2500 0.2500 0.2500  4 Dy 3.41, 4 Gd 3.41
4 Dy 0.5000 0.5000 0.5000  4 Tm 3.41, 4 Pu 3.41

Calculated values
final energy	-36.8	eV/cell
total magnetic moment	14.53	μB/f.u.
N(E_F)	2.627	states/eV per atom
crystal system	cubic

=====

Here is an optimized crystal structure of GdDyYPu from the Alexandria database. Energies are from PBE-GGA.

a b c (Å): 5.6062 5.6062 5.6062
angles (deg): 60.00 60.00 60.00
Closest atoms and distances in Å follow each position.
Sites, in units of the cell vectors:
1 Gd 0.0000 0.0000 0.0000  4 Pu 3.43, 4 Y 3.43
2 Y 0.2500 0.2500 0.2500  4 Gd 3.43, 4 Dy 3.43
3 Pu 0.7500 0.7500 0.7500  4 Dy 3.43, 4 Gd 3.43
4 Dy 0.5000 0.5000 0.5000  4 Y 3.43, 4 Pu 3.43

Calculated values
final energy	-38.7	eV/cell
total magnetic moment	14.55	μB/f.u.
N(E_F)	2.734	states/eV per atom
crystal system	cubic

=====

Here is an optimized crystal structure of RbGdDy2 from the Alexandria database. Energies are from PBE-GGA.

a b c (Å): 3.6160 3.6160 13.4190
angles (deg): 82.26 82.26 60.00
Closest atoms and distances in Å follow each position.
Sites, in units of the cell vectors:
1 Rb 0.0000 0.0000 0.0000  6 Rb 3.62, 2 Dy 3.80
2 Dy 0.0955 0.0955 0.7136  3 Gd 3.52, 6 Dy 3.62, 1 Rb 3.80
3 Dy 0.9045 0.9045 0.2864  3 Gd 3.52, 6 Dy 3.62, 1 Rb 3.80
4 Gd 0.5000 0.5000 0.5000  6 Dy 3.52, 6 Gd 3.62

Calculated values
final energy	-23.0	eV/cell
total magnetic moment	6.92	μB/f.u.
N(E_F)	1.427	states/eV per atom
crystal system	trigonal

=====

Here is an optimized crystal structure of GdDyRh from the Alexandria database. Energies are from PBE-GGA.

a b c (Å): 4.1436 4.5526 4.5526
angles (deg): 120.00 90.00 90.00
Closest atoms and distances in Å follow each position.
Sites, in units of the cell vectors:
1 Dy 0.2633 0.3333 0.6667  3 Rh 2.83
2 Gd 0.7295 0.6667 0.3333  3 Rh 2.87
3 Rh 0.0071 0.0000 0.0000  3 Dy 2.83, 3 Gd 2.87

Calculated values
final energy	-27.2	eV/cell
total magnetic moment	7.25	μB/f.u.
N(E_F)	0.930	states/eV per atom
crystal system	trigonal

=====

Here is an optimized crystal structure of GdDyRh from the Alexandria database. Energies are from PBE-GGA.

a b c (Å): 4.8236 4.8236 4.8236
angles (deg): 60.00 60.00 60.00
Closest atoms and distances in Å follow each position.
Sites, in units of the cell vectors:
1 Rh 0.2500 0.2500 0.2500  4 Gd 2.95, 4 Dy 2.95
2 Dy 0.5000 0.5000 0.5000  4 Rh 2.95
3 Gd 0.0000 0.0000 0.0000  4 Rh 2.95

Calculated values
final energy	-27.7	eV/cell
total magnetic moment	7.28	μB/f.u.
N(E_F)	1.104	states/eV per atom
crystal system	cubic

=====

Here is an optimized crystal structure of GdDyRh from the Alexandria database. Energies are from PBE-GGA.

a b c (Å): 3.4761 3.4761 6.7793
angles (deg): 104.86 104.86 90.00
Closest atoms and distances in Å follow each position.
Sites, in units of the cell vectors:
1 Gd 0.0352 0.0352 0.0703  4 Rh 2.98, 1 Dy 3.29
2 Dy 0.2957 0.2957 0.5913  4 Rh 2.93
3 Rh 0.6692 0.6692 0.3384  4 Dy 2.93, 4 Gd 2.98

Calculated values
final energy	-27.6	eV/cell
total magnetic moment	7.35	μB/f.u.
N(E_F)	1.119	states/eV per atom
crystal system	tetragonal

=====

Here is an optimized crystal structure of GdDyRh2 from the Alexandria database. Energies are from PBE-GGA.

a b c (Å): 4.8685 4.8685 4.8681
angles (deg): 60.00 60.00 60.00
Closest atoms and distances in Å follow each position.
Sites, in units of the cell vectors:
1 Rh 0.7500 0.7500 0.7499  4 Dy 2.98, 4 Gd 2.98
2 Rh 0.2500 0.2500 0.2501  4 Dy 2.98, 4 Gd 2.98
3 Gd 0.5000 0.5000 0.5000  8 Rh 2.98
4 Dy 0.0000 0.0000 0.0000  8 Rh 2.98

Calculated values
final energy	-36.7	eV/cell
total magnetic moment	7.00	μB/f.u.
N(E_F)	0.679	states/eV per atom
crystal system	cubic

=====

Here is an optimized crystal structure of GdDyRh2 from the Alexandria database. Energies are from PBE-GGA.

a b c (Å): 3.3810 4.9130 4.9130
angles (deg): 90.00 90.00 90.00
Closest atoms and distances in Å follow each position.
Sites, in units of the cell vectors:
1 Dy 0.5000 0.5000 0.5000  8 Rh 2.98
2 Gd 0.5000 0.0000 0.0000  8 Rh 2.98
3 Rh 0.0000 0.0000 0.5000  4 Gd 2.98, 4 Dy 2.98
4 Rh 0.0000 0.5000 0.0000  4 Gd 2.98, 4 Dy 2.98

Calculated values
final energy	-36.7	eV/cell
total magnetic moment	7.02	μB/f.u.
N(E_F)	0.612	states/eV per atom
crystal system	tetragonal

=====

Here is an optimized crystal structure of GdDyTlRh from the Alexandria database. Energies are from PBE-GGA.

a b c (Å): 5.1420 5.1420 5.1420
angles (deg): 60.00 60.00 60.00
Closest atoms and distances in Å follow each position.
Sites, in units of the cell vectors:
1 Tl 0.7500 0.7500 0.7500  4 Gd 3.15, 4 Dy 3.15
2 Gd 0.5000 0.5000 0.5000  4 Rh 3.15, 4 Tl 3.15
3 Dy 0.0000 0.0000 0.0000  4 Tl 3.15, 4 Rh 3.15
4 Rh 0.2500 0.2500 0.2500  4 Gd 3.15, 4 Dy 3.15

Calculated values
final energy	-30.3	eV/cell
total magnetic moment	7.05	μB/f.u.
N(E_F)	0.560	states/eV per atom
crystal system	cubic

=====

Here is an optimized crystal structure of GdDyZnRh from the Alexandria database. Energies are from PBE-GGA.

a b c (Å): 4.9610 4.9610 4.9610
angles (deg): 60.00 60.00 60.00
Closest atoms and distances in Å follow each position.
Sites, in units of the cell vectors:
1 Zn 0.0000 0.0000 0.0000  4 Dy 3.04, 4 Gd 3.04
2 Dy 0.7500 0.7500 0.7500  4 Zn 3.04, 4 Rh 3.04
3 Rh 0.5000 0.5000 0.5000  4 Dy 3.04, 4 Gd 3.04
4 Gd 0.2500 0.2500 0.2500  4 Rh 3.04, 4 Zn 3.04

Calculated values
final energy	-29.6	eV/cell
total magnetic moment	7.08	μB/f.u.
N(E_F)	0.517	states/eV per atom
crystal system	cubic